(1)
# Ti8HgC2 PBE optimized geometry
data_Ti8HgC2
_chemical_formula_sum 'Ti16 Hg2 C4'
_cell_length_a 4.6407
_cell_length_b 5.0828
_cell_length_c 13.6992
_cell_angle_alpha 90.00
_cell_angle_beta 90.00
_cell_angle_gamma 90.00
_space_group_name_H-M_alt 'I m m m'
_space_group_IT_number 71
_space_group_name_Hall '-I 2 2'
loop_
_atom_site_label
_atom_site_fract_x
_atom_site_fract_y
_atom_site_fract_z
_atom_site_occupancy
Ti1 0.0000 0.0000 0.1122 1
Ti2 0.0000 0.2380 0.3972 1
Ti3 0.0000 0.5000 0.2286 1
Hg1 0.0000 0.5000 0.0000 1
C1 0.0000 0.0000 0.2659 1
# Formation energy   -72 meV/atom
# Total energy   -7.52 eV per atom
# Crystal system   orthorhombic


(2)
# Tc2MoRh PBE optimized geometry
data_Tc2MoRh
_chemical_formula_sum 'Tc6 Mo3 Rh3'
_cell_length_a 4.3960
_cell_length_b 4.3960
_cell_length_c 10.8980
_cell_angle_alpha 90.00
_cell_angle_beta 90.00
_cell_angle_gamma 120.00
_space_group_name_H-M_alt 'R 3 m'
_space_group_IT_number 160
_space_group_name_Hall 'R 3 -2"'
loop_
_atom_site_label
_atom_site_fract_x
_atom_site_fract_y
_atom_site_fract_z
_atom_site_occupancy
Tc1 0.0000 0.0000 0.0000 1
Tc2 0.0000 0.0000 0.2342 1
Mo1 0.0000 0.0000 0.7488 1
Rh1 0.0000 0.0000 0.5173 1
# Formation energy   268 meV/atom
# Total energy   -9.46 eV per atom
# Crystal system   trigonal
# Offset from the most stable computed form   333.2 meV/atom


(3)
# ZnGeSbI2 PBE optimized geometry
data_ZnGeSbI2
_chemical_formula_sum 'Zn1 Ge1 Sb1 I2'
_cell_length_a 5.7633
_cell_length_b 5.7633
_cell_length_c 5.6334
_cell_angle_alpha 90.00
_cell_angle_beta 90.00
_cell_angle_gamma 90.00
_space_group_name_H-M_alt 'P 4/m m m'
_space_group_IT_number 123
_space_group_name_Hall '-P 4 2'
loop_
_atom_site_label
_atom_site_fract_x
_atom_site_fract_y
_atom_site_fract_z
_atom_site_occupancy
Zn1 0.0000 0.0000 0.0000 1
Ge1 0.5000 0.5000 0.5000 1
Sb1 0.5000 0.5000 0.0000 1
I1 0.0000 0.5000 0.5000 1
# Total energy   -2.22 eV per atom
# Crystal system   tetragonal
# Offset from the most stable computed form   0.0 meV/atom


(4)
# Y3GeRu PBE optimized geometry
data_Y3GeRu
_chemical_formula_sum 'Y3 Ge1 Ru1'
_cell_length_a 5.2984
_cell_length_b 5.2984
_cell_length_c 5.2984
_cell_angle_alpha 90.00
_cell_angle_beta 90.00
_cell_angle_gamma 90.00
_space_group_name_H-M_alt 'P m -3 m'
_space_group_IT_number 221
_space_group_name_Hall '-P 4 2 3'
loop_
_atom_site_label
_atom_site_fract_x
_atom_site_fract_y
_atom_site_fract_z
_atom_site_occupancy
Y1 0.0000 0.0000 0.5000 1
Ge1 0.5000 0.5000 0.5000 1
Ru1 0.0000 0.0000 0.0000 1
# Formation energy   -102 meV/atom
# Total energy   -6.76 eV per atom
# Crystal system   cubic
# Offset from the most stable computed form   0.0 meV/atom


(5)
# YHoTlSe PBE optimized geometry
data_YHoTlSe
_chemical_formula_sum 'Y2 Ho2 Tl2 Se2'
_cell_length_a 6.7172
_cell_length_b 3.8811
_cell_length_c 8.5596
_cell_angle_alpha 90.00
_cell_angle_beta 105.09
_cell_angle_gamma 90.00
_space_group_name_H-M_alt 'C 1 m 1'
_space_group_IT_number 8
_space_group_name_Hall 'C -2y'
loop_
_atom_site_label
_atom_site_fract_x
_atom_site_fract_y
_atom_site_fract_z
_atom_site_occupancy
Y1 0.0000 0.0000 0.0000 1
Ho1 0.3075 0.5000 0.4226 1
Tl1 0.0704 0.5000 0.7104 1
Se1 0.4033 0.0000 0.2100 1
# Total energy   -5.23 eV per atom
# Crystal system   monoclinic


(6)
# Nd4BiS2N PBE optimized geometry
data_Nd4BiS2N
_chemical_formula_sum 'Nd8 Bi2 S4 N2'
_cell_length_a 7.3492
_cell_length_b 7.3492
_cell_length_c 8.2901
_cell_angle_alpha 90.00
_cell_angle_beta 90.00
_cell_angle_gamma 90.00
_space_group_name_H-M_alt 'I -4 2 m'
_space_group_IT_number 121
_space_group_name_Hall 'I -4 2'
loop_
_atom_site_label
_atom_site_fract_x
_atom_site_fract_y
_atom_site_fract_z
_atom_site_occupancy
Nd1 0.1857 0.1857 0.3396 1
Bi1 0.0000 0.0000 0.0000 1
S1 0.0000 0.5000 0.2500 1
N1 0.0000 0.0000 0.5000 1
# Total energy   -6.29 eV per atom
# Crystal system   tetragonal


(7)
# Re2SiP PBE optimized geometry
data_Re2SiP
_chemical_formula_sum 'Re4 Si2 P2'
_cell_length_a 2.9756
_cell_length_b 4.7321
_cell_length_c 8.2555
_cell_angle_alpha 90.00
_cell_angle_beta 90.00
_cell_angle_gamma 90.00
_space_group_name_H-M_alt 'C m m 2'
_space_group_IT_number 35
_space_group_name_Hall 'C 2 -2'
loop_
_atom_site_label
_atom_site_fract_x
_atom_site_fract_y
_atom_site_fract_z
_atom_site_occupancy
Re1 0.0000 0.0000 0.0000 1
Re2 0.0000 0.5000 0.2733 1
Si1 0.0000 0.5000 0.7576 1
P1 0.0000 0.0000 0.5030 1
# Total energy   -8.55 eV per atom
# Crystal system   orthorhombic
# Offset from the most stable computed form   590.4 meV/atom


(8)
# YMgCl2 PBE optimized geometry
data_YMgCl2
_chemical_formula_sum 'Y2 Mg2 Cl4'
_cell_length_a 11.7191
_cell_length_b 3.5887
_cell_length_c 5.9223
_cell_angle_alpha 90.00
_cell_angle_beta 120.27
_cell_angle_gamma 90.00
_space_group_name_H-M_alt 'C 1 m 1'
_space_group_IT_number 8
_space_group_name_Hall 'C -2y'
loop_
_atom_site_label
_atom_site_fract_x
_atom_site_fract_y
_atom_site_fract_z
_atom_site_occupancy
Y1 0.0000 0.0000 0.0000 1
Mg1 0.0000 0.5000 0.4627 1
Cl1 0.1718 0.5000 0.9783 1
Cl2 0.3284 0.0000 0.6352 1
# Total energy   -4.17 eV per atom
# Crystal system   monoclinic
# Offset from the most stable computed form   24.2 meV/atom